DFT (PBE-GGA) results for a relaxed structure of ThSiSe4I.

a = 7.788 Å, b = 7.788 Å, c = 8.616 Å
α = 76.67°, β = 76.67°, γ = 73.86°
Fractional coordinates of all 14 atoms:
Se  0.892  0.529  0.856
Se  0.302  0.302  0.540
Se  0.529  0.892  0.856
Se  0.456  0.456  0.763
Se  0.471  0.108  0.144
Se  0.544  0.544  0.237
Se  0.698  0.698  0.460
Se  0.108  0.471  0.144
Si  0.359  0.359  0.268
Si  0.641  0.641  0.732
Th  0.215  0.215  0.903
Th  0.785  0.785  0.097
I  0.001  0.001  0.224
I  0.999  0.999  0.776

Results
Raw formation energy in meV/atom: -737
Space group: C2/m